# TaAsPbO, relaxed, DFT GGA-PBE
data_TaAsPbO
_cell_length_a 3.448
_cell_length_b 7.049
_cell_length_c 7.430
_cell_angle_alpha 90.00
_cell_angle_beta 90.00
_cell_angle_gamma 90.00
_space_group_name_H-M_alt 'P m c 21'
_space_group_IT_number 26
loop_
_space_group_symop_operation_xyz
'x,y,z'
'-x,-y,z+1/2'
'-x,y,z'
'x,-y,z+1/2'
loop_
_atom_site_label
_atom_site_fract_x
_atom_site_fract_y
_atom_site_fract_z
_atom_site_occupancy
Ta1 0.000 0.061 0.000 1
As1 0.500 0.325 0.951 1
Pb1 0.500 0.298 0.569 1
O1 0.000 0.051 0.260 1
# Uncorrected energy in Ry/atom: -0.52572
# V in A^3/atom: 22.6
# Excess energy over the best structure of this formula in the dataset in meV per atom: 0.0
# Total moment in μB per atom: 0.001

# TaAsPbO, relaxed, DFT GGA-PBE
data_TaAsPbO
_cell_length_a 3.789
_cell_length_b 9.018
_cell_length_c 5.223
_cell_angle_alpha 90.00
_cell_angle_beta 90.00
_cell_angle_gamma 90.00
_space_group_name_H-M_alt 'P m c 21'
_space_group_IT_number 26
loop_
_space_group_symop_operation_xyz
'x,y,z'
'-x,-y,z+1/2'
'-x,y,z'
'x,-y,z+1/2'
loop_
_atom_site_label
_atom_site_fract_x
_atom_site_fract_y
_atom_site_fract_z
_atom_site_occupancy
Ta1 0.000 0.116 0.000 1
As1 0.000 0.168 0.499 1
Pb1 0.500 0.411 0.513 1
O1 0.500 0.165 0.000 1
# Uncorrected energy in Ry/atom: -0.52243
# V in A^3/atom: 22.3
# Excess energy over the best structure of this formula in the dataset in meV per atom: 44.9
# Total moment in μB per atom: 0.000